[1]
The following is a DFT calculation (PBE-GGA) of a relaxed structure of InGaSN2.

Cell and atoms, written as extended XYZ:
```
5
Lattice="4.299 0.000 0.000 0.000 4.299 0.000 0.000 0.000 5.394" Properties=species:S:1:pos:R:3 pbc="T T T"
In 0.000 0.000 0.000
Ga 2.150 2.150 2.697
S 0.000 0.000 2.697
N 0.000 2.150 0.000
N 2.150 0.000 0.000
```

Calculated values
**Uncorrected formation energy**: 1.310 eV/atom
**Excess energy over the best structure of this formula in the dataset**: 1.747 eV/f.u.
**Symmetry**: No. 123

=====

[2]
The following is a DFT calculation (PBE-GGA) of a relaxed structure of ScInGa2N.

Cell and atoms, written as extended XYZ:
```
5
Lattice="5.343 0.000 0.000 0.000 5.343 0.000 0.000 0.000 3.990" Properties=species:S:1:pos:R:3 pbc="T T T"
Sc 0.000 0.000 0.000
In 2.671 2.671 1.995
Ga 0.000 2.671 1.995
Ga 2.671 0.000 1.995
N 2.671 2.671 0.000
```

Calculated values
**Uncorrected formation energy**: 0.835 eV/atom
**Symmetry**: No. 123

=====

[3]
The following is a DFT calculation (PBE-GGA) of a relaxed structure of InGaSe2N.

Cell and atoms, written as extended XYZ:
```
5
Lattice="5.461 0.000 0.000 0.000 5.461 0.000 0.000 0.000 4.209" Properties=species:S:1:pos:R:3 pbc="T T T"
In 0.000 0.000 0.000
Ga 2.731 2.731 2.104
Se 0.000 2.731 0.000
Se 2.731 0.000 0.000
N 0.000 0.000 2.104
```

Calculated values
**Uncorrected formation energy**: 0.736 eV/atom
**Excess energy over the best structure of this formula in the dataset**: 1.548 eV/f.u.
**Symmetry**: No. 123

=====

[4]
The following is a DFT calculation (PBE-GGA) of a relaxed structure of InGaSe2N.

Cell and atoms, written as extended XYZ:
```
5
Lattice="5.285 0.000 0.000 0.000 5.285 0.000 0.000 0.000 3.718" Properties=species:S:1:pos:R:3 pbc="T T T"
In 0.000 0.000 0.000
Ga 2.642 2.642 1.859
Se 0.000 2.642 1.859
Se 2.642 0.000 1.859
N 2.642 2.642 0.000
```

Calculated values
**Uncorrected formation energy**: 0.427 eV/atom
**Excess energy over the best structure of this formula in the dataset**: 0.000 eV/f.u.
**Symmetry**: No. 123

=====

[5]
The following is a DFT calculation (PBE-GGA) of a relaxed structure of InGaSeN2.

Cell and atoms, written as extended XYZ:
```
5
Lattice="4.253 0.000 0.000 0.000 4.253 0.000 0.000 0.000 5.811" Properties=species:S:1:pos:R:3 pbc="T T T"
In 0.000 0.000 0.000
Ga 2.126 2.126 2.906
Se 0.000 0.000 2.906
N 0.000 2.126 0.000
N 2.126 0.000 0.000
```

Calculated values
**Uncorrected formation energy**: 1.273 eV/atom
**Excess energy over the best structure of this formula in the dataset**: 1.434 eV/f.u.
**Symmetry**: No. 123

=====

[6]
The following is a DFT calculation (PBE-GGA) of a relaxed structure of InGaSeN2.

Cell and atoms, written as extended XYZ:
```
5
Lattice="3.895 0.000 0.000 0.000 3.895 0.000 0.000 0.000 5.888" Properties=species:S:1:pos:R:3 pbc="T T T"
In 0.000 0.000 0.000
Ga 1.947 1.947 2.944
Se 1.947 1.947 0.000
N 0.000 1.947 2.944
N 1.947 0.000 2.944
```

Calculated values
**Uncorrected formation energy**: 0.986 eV/atom
**Excess energy over the best structure of this formula in the dataset**: 0.000 eV/f.u.
**Symmetry**: No. 123

=====

[7]
The following is a DFT calculation (PBE-GGA) of a relaxed structure of InGaTeN2.

Cell and atoms, written as extended XYZ:
```
5
Lattice="4.306 0.000 0.000 0.000 4.306 0.000 0.000 0.000 6.216" Properties=species:S:1:pos:R:3 pbc="T T T"
In 0.000 0.000 0.000
Ga 2.153 2.153 3.108
Te 0.000 0.000 3.108
N 0.000 2.153 0.000
N 2.153 0.000 0.000
```

Calculated values
**Uncorrected formation energy**: 1.307 eV/atom
**Excess energy over the best structure of this formula in the dataset**: 0.919 eV/f.u.
**Symmetry**: No. 123

=====

[8]
The following is a DFT calculation (PBE-GGA) of a relaxed structure of InGaTeN2.

Cell and atoms, written as extended XYZ:
```
5
Lattice="4.145 0.000 0.000 0.000 4.145 0.000 0.000 0.000 5.501" Properties=species:S:1:pos:R:3 pbc="T T T"
In 0.000 0.000 0.000
Ga 2.073 2.073 0.000
Te 2.073 2.073 2.751
N 0.000 2.073 2.751
N 2.073 0.000 2.751
```

Calculated values
**Uncorrected formation energy**: 1.249 eV/atom
**Excess energy over the best structure of this formula in the dataset**: 0.629 eV/f.u.
**Symmetry**: No. 123

=====

[9]
The following is a DFT calculation (PBE-GGA) of a relaxed structure of InGaTeN2.

Cell and atoms, written as extended XYZ:
```
5
Lattice="4.101 0.000 0.000 0.000 4.101 0.000 0.000 0.000 5.848" Properties=species:S:1:pos:R:3 pbc="T T T"
In 0.000 0.000 0.000
Ga 2.051 2.051 2.924
Te 2.051 2.051 0.000
N 0.000 2.051 2.924
N 2.051 0.000 2.924
```

Calculated values
**Uncorrected formation energy**: 1.123 eV/atom
**Excess energy over the best structure of this formula in the dataset**: 0.000 eV/f.u.
**Symmetry**: No. 123

=====

[10]
The following is a DFT calculation (PBE-GGA) of a relaxed structure of InGaTe2N.

Cell and atoms, written as extended XYZ:
```
5
Lattice="6.045 0.000 0.000 0.000 6.045 0.000 0.000 0.000 3.503" Properties=species:S:1:pos:R:3 pbc="T T T"
In 0.000 0.000 0.000
Ga 3.022 3.022 1.752
Te 0.000 3.022 1.752
Te 3.022 0.000 1.752
N 3.022 3.022 0.000
```

Calculated values
**Uncorrected formation energy**: 0.439 eV/atom
**Excess energy over the best structure of this formula in the dataset**: 0.000 eV/f.u.
**Symmetry**: No. 123

=====

[11]
The following is a DFT calculation (PBE-GGA) of a relaxed structure of InGaTe2N.

Cell and atoms, written as extended XYZ:
```
5
Lattice="6.020 0.000 0.000 0.000 6.020 0.000 0.000 0.000 3.983" Properties=species:S:1:pos:R:3 pbc="T T T"
In 0.000 0.000 0.000
Ga 3.010 3.010 1.991
Te 0.000 3.010 0.000
Te 3.010 0.000 0.000
N 0.000 0.000 1.991
```

Calculated values
**Uncorrected formation energy**: 0.817 eV/atom
**Excess energy over the best structure of this formula in the dataset**: 1.889 eV/f.u.
**Symmetry**: No. 123

=====

[12]
The following is a DFT calculation (PBE-GGA) of a relaxed structure of ThInGaN.

Cell and atoms, written as extended XYZ:
```
8
Lattice="4.208 0.000 0.000 0.000 4.208 0.000 0.000 0.000 9.885" Properties=species:S:1:pos:R:3 pbc="T T T"
Th 1.052 1.052 1.092
Th 3.156 3.156 8.793
In 1.052 3.156 4.943
In 3.156 1.052 4.943
Ga 1.052 1.052 6.996
Ga 3.156 3.156 2.889
N 1.052 3.156 0.000
N 3.156 1.052 0.000
```

Calculated values
**Uncorrected formation energy**: -0.833 eV/atom
**Symmetry**: No. 129

=====

The highest uncorrected formation energy belongs to which entry?
InGaSN2

=====

uncorrected formation energy of number 6 (InGaSeN2)?
0.986 eV/atom

=====

The highest uncorrected formation energy belongs to which entry?
InGaSN2

=====

Look up the uncorrected formation energy of the seventh one.
1.307 eV/atom